Below is a geometry-optimized Tl2CrHg structure, with properties calculated at the PBE level.

Lattice parameters (Å, degrees): 7.3729 7.3729 7.3729 90.00 90.00 90.00
Last column: nearest neighbours and their distance in Å.
Space group F-43m (No. 216)
Unique sites:
Tl (0.0000, 0.0000, 0.0000) (multiplicity 4)  4 Cr 3.19, 4 Tl 3.19
Tl (0.2500, 0.2500, 0.2500) (multiplicity 4)  4 Tl 3.19, 4 Hg 3.19
Cr (0.2500, 0.2500, 0.7500) (multiplicity 4)  4 Hg 3.19, 4 Tl 3.19
Hg (0.0000, 0.0000, 0.5000) (multiplicity 4)  4 Tl 3.19, 4 Cr 3.19

Calculated values
DOS(E_F) ... 7.79 states/eV/cell
Energy of formation from the pure elements ... 421 meV/atom